[1]
Compound: NaB3Au
Source: the Alexandria database
Functional: PBE
Structure: optimized geometry

Computed properties:
Total magnetization, μB/atom: 0.2443
E above lowest polymorph, meV per atom: 0
DOS(E_F), states/eV per atom: 0.731
ΔH_f (0 K), eV per atom: 1.6416
Total DFT energy (no corrections), eV/atom: -3.2842
SG: Pm-3m (221)

Lattice parameters (Å, degrees): 4.2862 4.2862 4.2862 90.00 90.00 90.00
Last column: magnetic moment on the atom in μB.
Positions (direct):
B: 0.5000 0.0000 0.0000  0.13
B: 0.0000 0.0000 0.5000  0.24
Au: 0.0000 0.0000 0.0000  0.09
Na: 0.5000 0.5000 0.5000  0.01
B: 0.0000 0.5000 0.0000  0.13

=====

[2]
Compound: NaBAu3
Source: the Alexandria database
Functional: PBE
Structure: optimized geometry

Computed properties:
Total magnetization, μB/atom: 0.0000
DOS(E_F), states/eV per atom: 0.402
ΔH_f (0 K), eV per atom: -0.0201
Total DFT energy (no corrections), eV/atom: -3.5859
SG: Pm-3m (221)

Lattice parameters (Å, degrees): 4.4636 4.4636 4.4636 90.00 90.00 90.00
Positions (direct):
Au: 0.5000 0.0000 0.0000
Au: 0.0000 0.0000 0.5000
Na: 0.5000 0.5000 0.5000
Au: 0.0000 0.5000 0.0000
B: 0.0000 0.0000 0.0000

=====

[3]
Compound: Na2BAuO
Source: the Alexandria database
Functional: PBE
Structure: optimized geometry

Computed properties:
Total magnetization, μB/atom: 0.0956
Energy relative to the elements, uncorrected, eV per atom: -0.14
DOS(E_F), states/eV per atom: 0.433
Total DFT energy (no corrections), eV/atom: -3.6524
SG: P4/mmm (123)

Lattice parameters (Å, degrees): 5.7265 2.7736 5.7265 90.00 90.00 90.00
Last column: magnetic moment on the atom in μB.
Positions (direct):
Au: 0.5000 0.5000 0.5000  0.01
B: 0.0000 0.0000 0.0000  0.20
Na: 0.0000 0.0000 0.5000  0.01
O: 0.0000 0.5000 0.0000  0.01
Na: 0.5000 0.0000 0.0000  0.00